Record 1
Material: Pm2ZrHg
Method: DFT, GGA-PBE
State: relaxed

Geometry as extended XYZ:
```
4
Lattice="3.511 0.000 0.000 0.000 3.511 0.000 0.000 0.000 9.069" Properties=species:S:1:pos:R:3 pbc="T T T"
Pm 0.000 0.000 2.194
Pm 0.000 0.000 6.875
Zr 1.755 1.755 4.535
Hg 1.755 1.755 0.000
```

Polymorph energy (0 for the lowest one) in kJ/mol of atoms: 0.0
Formation enthalpy at 0 K in eV/atom: -0.1474
Calculated density in g/cm3: 8.64

Record 2
Material: Mn2NiMo
Method: DFT, GGA-PBE
State: relaxed

Geometry as extended XYZ:
```
4
Lattice="0.000 2.589 3.659 2.582 0.000 3.659 2.582 2.589 0.000" Properties=species:S:1:pos:R:3 pbc="T T T"
Mn 0.000 0.000 0.000
Mn 1.291 1.294 1.830
Ni 2.582 2.589 3.659
Mo 3.873 3.883 5.489
```

Formation enthalpy at 0 K in eV/atom: 0.0723
Calculated density in g/cm3: 8.98